(1)
Ba2Cu2Ru | PBE | relaxed

Values from the calculation:
- Volume: 140 Å³/f.u.
- E_tot: -3.7921 eV per atom
- Offset from the most stable computed form: 0.192 eV/f.u.
- DOS at the Fermi energy: 0.315 states/eV per atom

Cell: 5.708 5.708 5.708 Å, 114.88 114.88 99.12°
Positions (direct):
Ba 0.250 0.750 0.500
Ba 0.750 0.250 0.500
Cu 0.160 0.160 0.000
Cu 0.840 0.840 0.000
Ru 0.500 0.500 0.000

---

(2)
AlRe2IrCl | PBE | relaxed

Values from the calculation:
- Energy relative to the elements, uncorrected: 1.5674 eV per atom
- Volume: 114 Å³/f.u.
- E_tot: -6.3018 eV per atom
- DOS at the Fermi energy: 0.947 states/eV per atom

Cell: 4.854 4.854 4.820 Å, 90.00 90.00 90.00°
Positions (direct):
Al 0.000 0.000 0.000
Re 0.000 0.500 0.500
Re 0.500 0.000 0.500
Ir 0.000 0.000 0.500
Cl 0.500 0.500 0.000

---

What is the formula in the first record?
Ba2Cu2Ru

---

Please write out number 1 again, unchanged.
Ba2Cu2Ru | PBE | relaxed

Values from the calculation:
- Volume: 140 Å³/f.u.
- E_tot: -3.7921 eV per atom
- Offset from the most stable computed form: 0.192 eV/f.u.
- DOS at the Fermi energy: 0.315 states/eV per atom

Cell: 5.708 5.708 5.708 Å, 114.88 114.88 99.12°
Positions (direct):
Ba 0.250 0.750 0.500
Ba 0.750 0.250 0.500
Cu 0.160 0.160 0.000
Cu 0.840 0.840 0.000
Ru 0.500 0.500 0.000

---

Repeat the second record exactly.
AlRe2IrCl | PBE | relaxed

Values from the calculation:
- Energy relative to the elements, uncorrected: 1.5674 eV per atom
- Volume: 114 Å³/f.u.
- E_tot: -6.3018 eV per atom
- DOS at the Fermi energy: 0.947 states/eV per atom

Cell: 4.854 4.854 4.820 Å, 90.00 90.00 90.00°
Positions (direct):
Al 0.000 0.000 0.000
Re 0.000 0.500 0.500
Re 0.500 0.000 0.500
Ir 0.000 0.000 0.500
Cl 0.500 0.500 0.000